Density functional theory data (PBE) for a geometry-optimized SrLa3C structure.

Cell and atoms, written as POSCAR:
```
SrLa3C
1.0
5.4570 0.0000 0.0000
0.0000 5.4570 0.0000
0.0000 0.0000 5.4570
C La Sr
1 3 1
direct
0.0000 0.0000 0.0000
0.5000 0.0000 0.0000
0.0000 0.5000 0.0000
0.0000 0.0000 0.5000
0.5000 0.5000 0.5000
```

Symmetry: Pm-3m
Relative energy among the computed polymorphs (eV/atom): 0.000


Density functional theory data (PBE) for a geometry-optimized SrLa2C structure.

Cell and atoms, written as POSCAR:
```
SrLa2C
1.0
-0.5641 3.4845 -1.4141
-3.4926 1.0883 -1.0377
-3.1287 5.2486 9.0684
La C Sr
2 1 1
direct
0.1222 0.1222 0.6334
0.8778 0.8778 0.3666
0.5000 0.5000 0.5000
0.0000 0.0000 0.0000
```

Symmetry: R-3m


Here are the calculated formation energy from the elements numbers, same order: 13 0 (kJ per mole of atoms).
Here are the calculated uncorrected energy numbers, same order: -25.02 -20.76 (eV/f.u.).